Fe2NiP2O8: relaxed, PBE+U.

Calculated values
E_tot in eV per atom: -6.85
Spin magnetization in μB per cell: 20.005
N(E_F) in states/eV/cell: 0.00
E above lowest polymorph in kJ/mol of formula units: 18

```
data_Fe2NiP2O8
_cell_length_a 6.030
_cell_length_b 4.845
_cell_length_c 10.422
_cell_angle_alpha 90.00
_cell_angle_beta 90.69
_cell_angle_gamma 90.00
_space_group_name_H-M_alt 'P 1'
_space_group_IT_number 1
loop_
_space_group_symop_operation_xyz
'x,y,z'
loop_
_atom_site_label
_atom_site_fract_x
_atom_site_fract_y
_atom_site_fract_z
Fe1 0.003 0.000 0.246
Fe2 0.263 0.514 0.469
Fe3 0.737 0.014 0.531
Fe4 0.997 0.500 0.754
Ni1 0.260 0.992 0.973
Ni2 0.740 0.492 0.027
P1 0.239 0.068 0.655
P2 0.248 0.430 0.146
P3 0.752 0.930 0.854
P4 0.761 0.568 0.345
O1 0.029 0.216 0.591
O2 0.039 0.280 0.081
O3 0.221 0.750 0.649
O4 0.231 0.748 0.141
O5 0.243 0.179 0.794
O6 0.248 0.320 0.286
O7 0.432 0.180 0.573
O8 0.444 0.313 0.068
O9 0.556 0.813 0.932
O10 0.568 0.680 0.427
O11 0.752 0.820 0.714
O12 0.757 0.679 0.206
O13 0.769 0.248 0.859
O14 0.779 0.250 0.351
O15 0.961 0.780 0.919
O16 0.971 0.716 0.409
```